# 1
A geometry-optimized Zr4FeBi structure, computed with GGA-PBE.

Properties
formation enthalpy at 0 K = -1.472 eV/f.u.
raw total energy = -192.03 eV for the cell shown
V = 517.69 Å³ per cell
E above lowest polymorph = 0.0 meV/atom
spin magnetization = 0.00 μB per formula unit

a = 3.5688 Å, b = 7.8822 Å, c = 18.4038 Å
α = 90.00°, β = 90.00°, γ = 90.00°
Fractional positions:
Zr  0.7500  0.8680  0.6483
Zr  0.2500  0.1320  0.3517
Zr  0.2500  0.6320  0.1483
Zr  0.7500  0.3680  0.8517
Zr  0.7500  0.8569  0.4555
Zr  0.2500  0.1431  0.5445
Zr  0.2500  0.6431  0.9555
Zr  0.7500  0.3569  0.0445
Zr  0.7500  0.0192  0.9330
Zr  0.2500  0.9808  0.0670
Zr  0.2500  0.4808  0.4330
Zr  0.7500  0.5192  0.5670
Zr  0.7500  0.9435  0.2100
Zr  0.2500  0.0565  0.7900
Zr  0.2500  0.5565  0.7100
Zr  0.7500  0.4435  0.2900
Fe  0.7500  0.2339  0.4443
Fe  0.2500  0.7661  0.5557
Fe  0.2500  0.2661  0.9443
Fe  0.7500  0.7339  0.0557
Bi  0.7500  0.7466  0.8155
Bi  0.2500  0.2534  0.1845
Bi  0.2500  0.7534  0.3155
Bi  0.7500  0.2466  0.6845



# 2
A geometry-optimized Hf4Pd3Rh2 structure, computed with GGA-PBE.

Properties
formation enthalpy at 0 K = -6.645 eV/f.u.
raw total energy = -76.74 eV for the cell shown
V = 158.66 Å³ per cell
spin magnetization = 0.00 μB per formula unit

a = 4.1979 Å, b = 4.8321 Å, c = 8.7848 Å
α = 82.05°, β = 89.94°, γ = 64.29°
Fractional positions:
Hf  0.6614  0.6775  0.8807
Hf  0.0376  0.9240  0.3370
Hf  0.9624  0.0760  0.6630
Hf  0.3386  0.3225  0.1193
Pd  0.3433  0.3140  0.4454
Pd  0.0000  0.0000  0.0000
Pd  0.6567  0.6860  0.5546
Rh  0.3204  0.3586  0.7955
Rh  0.6796  0.6414  0.2045



# 3
A geometry-optimized BeReIr structure, computed with GGA-PBE.

Properties
formation enthalpy at 0 K = 0.278 eV/f.u.
raw total energy = -24.76 eV for the cell shown
V = 46.19 Å³ per cell
E above lowest polymorph = 410.0 meV/atom
spin magnetization = 0.00 μB per formula unit

a = 4.0273 Å, b = 4.0273 Å, c = 4.0273 Å
α = 60.00°, β = 60.00°, γ = 60.00°
Fractional positions:
Re  0.2500  0.2500  0.2500
Ir  0.5000  0.5000  0.5000
Be  0.7500  0.7500  0.7500



# 4
A geometry-optimized Tb3PuAu4 structure, computed with GGA-PBE.

Properties
formation enthalpy at 0 K = -5.942 eV/f.u.
raw total energy = -47.27 eV for the cell shown
V = 189.64 Å³ per cell
spin magnetization = 5.77 μB per formula unit

a = 3.6053 Å, b = 3.6053 Å, c = 14.5903 Å
α = 90.00°, β = 90.00°, γ = 90.00°
Fractional positions:
Au  0.0000  0.0000  0.8658
Au  0.0000  0.0000  0.1342
Au  0.0000  0.0000  0.3766
Au  0.0000  0.0000  0.6234
Tb  0.5000  0.5000  0.2506
Tb  0.5000  0.5000  0.5000
Tb  0.5000  0.5000  0.7494
Pu  0.5000  0.5000  0.0000



# 5
A geometry-optimized Pu2AlMo structure, computed with GGA-PBE.

Properties
formation enthalpy at 0 K = 1.186 eV/f.u.
raw total energy = -42.05 eV for the cell shown
V = 77.31 Å³ per cell
E above lowest polymorph = 0.0 meV/atom
spin magnetization = 8.81 μB per formula unit

a = 2.8653 Å, b = 2.8653 Å, c = 10.9989 Å
α = 82.52°, β = 82.52°, γ = 60.00°
Fractional positions:
Mo  0.0000  0.0000  0.0000
Al  0.5000  0.5000  0.5000
Pu  0.2504  0.2504  0.2489
Pu  0.7496  0.7496  0.7511



# 6
A geometry-optimized AcInAg structure, computed with GGA-PBE.

Properties
formation enthalpy at 0 K = -1.125 eV/f.u.
raw total energy = -21.65 eV for the cell shown
V = 174.88 Å³ per cell
E above lowest polymorph = 23.0 meV/atom
spin magnetization = 0.00 μB per formula unit

a = 5.0305 Å, b = 5.0305 Å, c = 7.9789 Å
α = 90.00°, β = 90.00°, γ = 119.99°
Fractional positions:
Ac  0.0000  0.5000  0.5000
Ac  0.0000  0.5000  0.0000
In  0.6665  0.8335  0.7500
In  0.3335  0.1665  0.2500
Ag  0.3332  0.1668  0.7500
Ag  0.6668  0.8332  0.2500